Entry 1:
A plane-wave DFT calculation with GGA-PBE was carried out for crystalline BaCuBi at its relaxed geometry.

a = 5.699 Å, b = 5.699 Å, c = 6.929 Å
α = 90.00°, β = 90.00°, γ = 120.00°
Fractional positions:
Ba 0.333 0.667 0.250
Ba 0.667 0.333 0.750
Cu 0.000 0.000 0.000
Cu 0.000 0.000 0.500
Bi 0.333 0.667 0.750
Bi 0.667 0.333 0.250

SG = P6_3/mmc, No. 194

Entry 2:
A plane-wave DFT calculation with GGA-PBE was carried out for crystalline BaPtO3 at its relaxed geometry.

a = 5.638 Å, b = 5.638 Å, c = 5.482 Å
α = 90.00°, β = 90.00°, γ = 120.00°
Fractional positions:
Ba 0.333 0.667 0.250
Ba 0.667 0.333 0.750
Pt 0.000 0.000 0.000
Pt 0.000 0.000 0.500
O 0.156 0.312 0.750
O 0.156 0.844 0.750
O 0.312 0.156 0.250
O 0.688 0.844 0.750
O 0.844 0.156 0.250
O 0.844 0.688 0.250

SG = P6_3/mmc, No. 194

Entry 3:
A plane-wave DFT calculation with GGA-PBE was carried out for crystalline PuMgPt at its relaxed geometry.

a = 6.712 Å, b = 6.712 Å, c = 6.712 Å
α = 90.00°, β = 90.00°, γ = 90.00°
Fractional positions:
Pu 0.000 0.000 0.000
Pu 0.000 0.500 0.500
Pu 0.500 0.000 0.500
Pu 0.500 0.500 0.000
Mg 0.250 0.250 0.750
Mg 0.250 0.750 0.250
Mg 0.750 0.250 0.250
Mg 0.750 0.750 0.750
Pt 0.250 0.250 0.250
Pt 0.250 0.750 0.750
Pt 0.750 0.250 0.750
Pt 0.750 0.750 0.250

SG = F-43m, No. 216

Entry 4:
A plane-wave DFT calculation with GGA-PBE was carried out for crystalline CuMo4AsN2 at its relaxed geometry.

a = 2.952 Å, b = 2.952 Å, c = 13.550 Å
α = 90.00°, β = 90.00°, γ = 120.00°
Fractional positions:
Cu 0.000 0.000 0.000
Mo 0.000 0.000 0.352
Mo 0.000 0.000 0.648
Mo 0.667 0.333 0.157
Mo 0.667 0.333 0.843
As 0.667 0.333 0.500
N 0.333 0.667 0.253
N 0.333 0.667 0.747

SG = P-6m2, No. 187

Entry 5:
A plane-wave DFT calculation with GGA-PBE was carried out for crystalline Gd4Zn5 at its relaxed geometry.

a = 7.618 Å, b = 7.618 Å, c = 7.618 Å
α = 93.89°, β = 93.89°, γ = 149.79°
Fractional positions:
Gd 0.000 0.303 0.303
Gd 0.000 0.697 0.697
Gd 0.303 0.000 0.303
Gd 0.697 0.000 0.697
Zn 0.000 0.000 0.000
Zn 0.311 0.311 0.623
Zn 0.311 0.689 0.000
Zn 0.689 0.311 0.000
Zn 0.689 0.689 0.377

ΔH_f (0 K) = -0.10 eV/atom
SG = I4/mmm, No. 139

Entry 6:
A plane-wave DFT calculation with GGA-PBE was carried out for crystalline LuZnNiOs at its relaxed geometry.

a = 6.361 Å, b = 6.361 Å, c = 6.361 Å
α = 90.00°, β = 90.00°, γ = 90.00°
Fractional positions:
Lu 0.000 0.000 0.000
Lu 0.000 0.500 0.500
Lu 0.500 0.000 0.500
Lu 0.500 0.500 0.000
Zn 0.250 0.250 0.250
Zn 0.250 0.750 0.750
Zn 0.750 0.250 0.750
Zn 0.750 0.750 0.250
Ni 0.000 0.000 0.500
Ni 0.000 0.500 0.000
Ni 0.500 0.000 0.000
Ni 0.500 0.500 0.500
Os 0.250 0.250 0.750
Os 0.250 0.750 0.250
Os 0.750 0.250 0.250
Os 0.750 0.750 0.750

ΔH_f (0 K) = 0.17 eV/atom
SG = F-43m, No. 216

Entry 7:
A plane-wave DFT calculation with GGA-PBE was carried out for crystalline HgPt9 at its relaxed geometry.

a = 2.808 Å, b = 3.836 Å, c = 38.756 Å
α = 90.00°, β = 90.00°, γ = 90.00°
Fractional positions:
Hg 0.250 0.250 0.138
Hg 0.750 0.750 0.862
Pt 0.250 0.250 0.219
Pt 0.250 0.250 0.294
Pt 0.250 0.250 0.369
Pt 0.250 0.250 0.444
Pt 0.250 0.250 0.519
Pt 0.250 0.250 0.594
Pt 0.250 0.250 0.668
Pt 0.250 0.250 0.744
Pt 0.250 0.250 0.819
Pt 0.750 0.750 0.181
Pt 0.750 0.750 0.256
Pt 0.750 0.750 0.332
Pt 0.750 0.750 0.406
Pt 0.750 0.750 0.481
Pt 0.750 0.750 0.556
Pt 0.750 0.750 0.631
Pt 0.750 0.750 0.706
Pt 0.750 0.750 0.781

ΔH_f (0 K) = 0.05 eV/atom
SG = Pmmn, No. 59

Entry 8:
A plane-wave DFT calculation with GGA-PBE was carried out for crystalline Sc2Sn3W4C3 at its relaxed geometry.

a = 5.628 Å, b = 5.628 Å, c = 14.051 Å
α = 101.44°, β = 101.44°, γ = 60.31°
Fractional positions:
Sc 0.031 0.869 0.595
Sc 0.131 0.969 0.905
Sc 0.869 0.031 0.095
Sc 0.969 0.131 0.405
Sn 0.086 0.279 0.750
Sn 0.279 0.086 0.250
Sn 0.449 0.551 0.750
Sn 0.551 0.449 0.250
Sn 0.721 0.914 0.750
Sn 0.914 0.721 0.250
W 0.192 0.350 0.075
W 0.301 0.484 0.425
W 0.350 0.192 0.575
W 0.484 0.301 0.925
W 0.516 0.699 0.075
W 0.650 0.808 0.425
W 0.699 0.516 0.575
W 0.808 0.650 0.925
C 0.000 0.500 0.500
C 0.169 0.662 0.000
C 0.338 0.831 0.500
C 0.500 0.000 0.000
C 0.662 0.169 0.500
C 0.831 0.338 0.000

SG = C2/c, No. 15

Entry 9:
A plane-wave DFT calculation with GGA-PBE was carried out for crystalline ErPbAuSe3 at its relaxed geometry.

a = 10.931 Å, b = 4.103 Å, c = 13.497 Å
α = 90.00°, β = 90.00°, γ = 90.00°
Fractional positions:
Er 0.029 0.250 0.243
Er 0.471 0.750 0.743
Er 0.529 0.250 0.257
Er 0.971 0.750 0.757
Pb 0.230 0.750 0.500
Pb 0.270 0.250 0.000
Pb 0.730 0.750 0.000
Pb 0.770 0.250 0.500
Au 0.236 0.250 0.693
Au 0.264 0.750 0.193
Au 0.736 0.250 0.807
Au 0.764 0.750 0.307
Se 0.020 0.250 0.615
Se 0.066 0.750 0.097
Se 0.225 0.750 0.833
Se 0.275 0.250 0.333
Se 0.434 0.250 0.597
Se 0.480 0.750 0.115
Se 0.520 0.250 0.885
Se 0.566 0.750 0.403
Se 0.725 0.750 0.667
Se 0.775 0.250 0.167
Se 0.934 0.250 0.903
Se 0.980 0.750 0.385

SG = Pnma, No. 62
Distance to the lowest polymorph of the same formula = 0.015 eV per atom

Entry 10:
A plane-wave DFT calculation with GGA-PBE was carried out for crystalline TaZnCuOs at its relaxed geometry.

a = 6.175 Å, b = 6.175 Å, c = 6.175 Å
α = 90.00°, β = 90.00°, γ = 90.00°
Fractional positions:
Ta 0.000 0.000 0.000
Ta 0.000 0.500 0.500
Ta 0.500 0.000 0.500
Ta 0.500 0.500 0.000
Zn 0.000 0.000 0.500
Zn 0.000 0.500 0.000
Zn 0.500 0.000 0.000
Zn 0.500 0.500 0.500
Cu 0.250 0.250 0.750
Cu 0.250 0.750 0.250
Cu 0.750 0.250 0.250
Cu 0.750 0.750 0.750
Os 0.250 0.250 0.250
Os 0.250 0.750 0.750
Os 0.750 0.250 0.750
Os 0.750 0.750 0.250

ΔH_f (0 K) = 0.00 eV/atom
SG = F-43m, No. 216
Distance to the lowest polymorph of the same formula = 0.000 eV per atom

Entry 11:
A plane-wave DFT calculation with GGA-PBE was carried out for crystalline HfBe2Tc2 at its relaxed geometry.

a = 6.320 Å, b = 6.320 Å, c = 3.233 Å
α = 90.00°, β = 90.00°, γ = 90.00°
Fractional positions:
Hf 0.000 0.000 0.000
Hf 0.500 0.500 0.000
Be 0.114 0.386 0.000
Be 0.386 0.886 0.000
Be 0.614 0.114 0.000
Be 0.886 0.614 0.000
Tc 0.174 0.674 0.500
Tc 0.326 0.174 0.500
Tc 0.674 0.826 0.500
Tc 0.826 0.326 0.500

SG = P4/mbm, No. 127
Distance to the lowest polymorph of the same formula = 0.000 eV per atom

Entry 12:
A plane-wave DFT calculation with GGA-PBE was carried out for crystalline Nd3TeI at its relaxed geometry.

a = 7.137 Å, b = 7.137 Å, c = 7.813 Å
α = 90.00°, β = 90.00°, γ = 120.00°
Fractional positions:
Nd 0.037 0.361 0.250
Nd 0.037 0.676 0.750
Nd 0.324 0.361 0.750
Nd 0.324 0.963 0.250
Nd 0.639 0.676 0.250
Nd 0.639 0.963 0.750
Te 0.000 0.000 0.000
Te 0.000 0.000 0.500
I 0.667 0.333 0.000
I 0.667 0.333 0.500

SG = P-6c2, No. 188

Entry 13:
A plane-wave DFT calculation with GGA-PBE was carried out for crystalline Lu4BiPC2 at its relaxed geometry.

a = 3.597 Å, b = 3.597 Å, c = 14.157 Å
α = 90.00°, β = 90.00°, γ = 120.00°
Fractional positions:
Lu 0.000 0.000 0.131
Lu 0.000 0.000 0.869
Lu 0.333 0.667 0.314
Lu 0.333 0.667 0.686
Bi 0.000 0.000 0.500
P 0.333 0.667 0.000
C 0.667 0.333 0.231
C 0.667 0.333 0.769

SG = P-6m2, No. 187

Entry 14:
A plane-wave DFT calculation with GGA-PBE was carried out for crystalline KErFeSe3 at its relaxed geometry.

a = 8.936 Å, b = 8.936 Å, c = 8.764 Å
α = 102.60°, β = 102.60°, γ = 26.92°
Fractional positions:
K 0.145 0.145 0.070
K 0.855 0.855 0.930
Er 0.168 0.168 0.581
Er 0.832 0.832 0.419
Fe 0.490 0.490 0.275
Fe 0.510 0.510 0.725
Se 0.000 0.000 0.500
Se 0.336 0.336 0.640
Se 0.341 0.341 0.209
Se 0.500 0.500 0.000
Se 0.659 0.659 0.791
Se 0.664 0.664 0.360

SG = C2/m, No. 12
Distance to the lowest polymorph of the same formula = 0.174 eV per atom

Entry 15:
A plane-wave DFT calculation with GGA-PBE was carried out for crystalline AlTlAu2Se4 at its relaxed geometry.

a = 6.083 Å, b = 6.083 Å, c = 11.823 Å
α = 90.00°, β = 90.00°, γ = 90.00°
Fractional positions:
Al 0.000 0.000 0.000
Al 0.500 0.500 0.500
Tl 0.000 0.500 0.750
Tl 0.500 0.000 0.250
Au 0.000 0.000 0.500
Au 0.000 0.500 0.250
Au 0.500 0.000 0.750
Au 0.500 0.500 0.000
Se 0.227 0.755 0.114
Se 0.245 0.227 0.886
Se 0.255 0.273 0.386
Se 0.273 0.745 0.614
Se 0.727 0.255 0.614
Se 0.745 0.727 0.386
Se 0.755 0.773 0.886
Se 0.773 0.245 0.114

SG = I-4, No. 82

Entry 16:
A plane-wave DFT calculation with GGA-PBE was carried out for crystalline YAlPdPt at its relaxed geometry.

a = 4.352 Å, b = 4.352 Å, c = 9.250 Å
α = 90.00°, β = 90.00°, γ = 120.00°
Fractional positions:
Y 0.333 0.667 0.254
Y 0.667 0.333 0.746
Al 0.000 0.000 0.000
Al 0.000 0.000 0.500
Pd 0.333 0.667 0.922
Pd 0.667 0.333 0.078
Pt 0.333 0.667 0.583
Pt 0.667 0.333 0.417

SG = P-3m1, No. 164

Entry 17:
A plane-wave DFT calculation with GGA-PBE was carried out for crystalline LiTmCuTe3 at its relaxed geometry.

a = 7.495 Å, b = 7.495 Å, c = 10.893 Å
α = 90.00°, β = 90.00°, γ = 148.94°
Fractional positions:
Li 0.227 0.773 0.750
Li 0.773 0.227 0.250
Tm 0.000 0.000 0.000
Tm 0.000 0.000 0.500
Cu 0.478 0.522 0.250
Cu 0.522 0.478 0.750
Te 0.096 0.904 0.250
Te 0.355 0.645 0.074
Te 0.355 0.645 0.426
Te 0.645 0.355 0.574
Te 0.645 0.355 0.926
Te 0.904 0.096 0.750

SG = Cmcm, No. 63

Entry 18:
A plane-wave DFT calculation with GGA-PBE was carried out for crystalline Li2ZrScIn2Pt2 at its relaxed geometry.

a = 4.631 Å, b = 4.631 Å, c = 6.550 Å
α = 90.00°, β = 90.00°, γ = 90.00°
Fractional positions:
Li 0.000 0.500 0.247
Li 0.500 0.000 0.753
Zr 0.000 0.000 0.500
Sc 0.500 0.500 0.000
In 0.000 0.000 0.000
In 0.500 0.500 0.500
Pt 0.000 0.500 0.745
Pt 0.500 0.000 0.255

SG = P-4m2, No. 115

Entry 19:
A plane-wave DFT calculation with GGA-PBE was carried out for crystalline TmLuTlTe3 at its relaxed geometry.

a = 9.617 Å, b = 9.617 Å, c = 10.058 Å
α = 102.59°, β = 102.59°, γ = 25.77°
Fractional positions:
Tm 0.001 0.001 0.210
Tm 0.999 0.999 0.790
Lu 0.330 0.330 0.927
Lu 0.670 0.670 0.073
Tl 0.357 0.357 0.448
Tl 0.643 0.643 0.552
Te 0.000 0.000 0.500
Te 0.166 0.166 0.282
Te 0.166 0.166 0.856
Te 0.500 0.500 0.000
Te 0.834 0.834 0.144
Te 0.834 0.834 0.718

SG = C2/m, No. 12
Distance to the lowest polymorph of the same formula = 0.000 eV per atom

Entry 20:
A plane-wave DFT calculation with GGA-PBE was carried out for crystalline ZrBe2Cd at its relaxed geometry.

a = 6.303 Å, b = 6.303 Å, c = 6.303 Å
α = 90.00°, β = 90.00°, γ = 90.00°
Fractional positions:
Zr 0.000 0.000 0.000
Zr 0.000 0.500 0.500
Zr 0.500 0.000 0.500
Zr 0.500 0.500 0.000
Be 0.000 0.000 0.500
Be 0.000 0.500 0.000
Be 0.250 0.250 0.750
Be 0.250 0.750 0.250
Be 0.500 0.000 0.000
Be 0.500 0.500 0.500
Be 0.750 0.250 0.250
Be 0.750 0.750 0.750
Cd 0.250 0.250 0.250
Cd 0.250 0.750 0.750
Cd 0.750 0.250 0.750
Cd 0.750 0.750 0.250

SG = F-43m, No. 216

Entry 21:
A plane-wave DFT calculation with GGA-PBE was carried out for crystalline InFeAgTeSe2 at its relaxed geometry.

a = 7.754 Å, b = 7.754 Å, c = 10.751 Å
α = 90.00°, β = 90.00°, γ = 154.51°
Fractional positions:
In 0.185 0.815 0.750
In 0.815 0.185 0.250
Fe 0.500 0.500 0.000
Fe 0.500 0.500 0.500
Ag 0.164 0.836 0.250
Ag 0.836 0.164 0.750
Te 0.486 0.514 0.250
Te 0.514 0.486 0.750
Se 0.113 0.887 0.008
Se 0.113 0.887 0.492
Se 0.887 0.113 0.508
Se 0.887 0.113 0.992

SG = Cmcm, No. 63

Entry 22:
A plane-wave DFT calculation with GGA-PBE was carried out for crystalline YNiH3 at its relaxed geometry.

a = 3.509 Å, b = 3.509 Å, c = 3.509 Å
α = 90.00°, β = 90.00°, γ = 90.00°
Fractional positions:
Y 0.000 0.000 0.000
Ni 0.500 0.500 0.500
H 0.000 0.500 0.500
H 0.500 0.000 0.500
H 0.500 0.500 0.000

SG = Pm-3m, No. 221

no.,E (eV/atom)
1,-3.21
2,-6.03
3,-7.16
4,-8.48
5,-2.87
6,-5.48
7,-5.43
8,-8.86
9,-4.58
10,-7.02
11,-8.03
12,-4.53
13,-6.49
14,-5.12
15,-3.62
16,-6.43
17,-4.05
18,-5.30
19,-4.45
20,-3.90
21,-4.13
22,-4.90